No. 1
## PmIn6Hg12 (PBE)

Data for a relaxed structure of PmIn6Hg12.

## Properties
For the energy above the most stable polymorph in this dataset, the calculation gives 0.023 eV/atom. The magnetic moment comes out at 0.00 μB/atom. The value obtained for the density of states at the Fermi level is 8.17 states/eV/f.u.

a b c (Å): 8.0133 8.0133 8.0133
angles (deg): 91.82 91.82 91.82
Fractional positions:
Pm  0.0000  0.0000  0.0000
In  0.1451  0.7144  0.2578
In  0.2578  0.1451  0.7144
In  0.2856  0.7422  0.8549
In  0.7144  0.2578  0.1451
In  0.7422  0.8549  0.2856
In  0.8549  0.2856  0.7422
Hg  0.0458  0.1558  0.3769
Hg  0.1558  0.3769  0.0458
Hg  0.1919  0.4850  0.5539
Hg  0.3769  0.0458  0.1558
Hg  0.4461  0.8081  0.5150
Hg  0.4850  0.5539  0.1919
Hg  0.5150  0.4461  0.8081
Hg  0.5539  0.1919  0.4850
Hg  0.6231  0.9542  0.8442
Hg  0.8081  0.5150  0.4461
Hg  0.8442  0.6231  0.9542
Hg  0.9542  0.8442  0.6231

---

No. 2
## Pm2InHg8 (PBE)

Data for a relaxed structure of Pm2InHg8.

## Properties
For the energy above the most stable polymorph in this dataset, the calculation gives 0.000 eV/atom. The magnetic moment comes out at 0.00 μB/atom. The value obtained for the density of states at the Fermi level is 6.62 states/eV/f.u.

a b c (Å): 4.7325 4.7325 12.8430
angles (deg): 90.00 90.00 90.00
Fractional positions:
Pm  0.0000  0.0000  0.1849
Pm  0.0000  0.0000  0.8151
In  0.0000  0.0000  0.5000
Hg  0.0000  0.5000  0.0000
Hg  0.0000  0.5000  0.3574
Hg  0.0000  0.5000  0.6426
Hg  0.5000  0.0000  0.0000
Hg  0.5000  0.0000  0.3574
Hg  0.5000  0.0000  0.6426
Hg  0.5000  0.5000  0.1813
Hg  0.5000  0.5000  0.8187

---

No. 3
## PmIn5Hg6 (PBE)

Data for a relaxed structure of PmIn5Hg6.

## Properties
The calculated total energy is -1.80 eV per atom. The magnetic moment comes out at 0.00 μB/atom. The value obtained for the density of states at the Fermi level is 5.55 states/eV/f.u.

a b c (Å): 6.8599 6.8599 9.8394
angles (deg): 90.00 90.00 137.82
Fractional positions:
Pm  0.0000  0.0000  0.0000
In  0.0000  0.0000  0.5000
In  0.3169  0.6831  0.0000
In  0.3400  0.6600  0.5000
In  0.6600  0.3400  0.5000
In  0.6831  0.3169  0.0000
Hg  0.1634  0.8366  0.2613
Hg  0.1634  0.8366  0.7387
Hg  0.5000  0.5000  0.2300
Hg  0.5000  0.5000  0.7700
Hg  0.8366  0.1634  0.2613
Hg  0.8366  0.1634  0.7387

---

> magnetic moment of number 3 (PmIn5Hg6)?

0.00 μB/atom

---

> Which value of magnetic moment does entry 1 give?

0.00 μB/atom